Material: MgCu2Sb
Method: DFT, PBE
State: optimized geometry

abc: 6.483 6.483 6.483
angles: 90.00 90.00 90.00
Positions (direct):
Cu1 0.234 0.766 0.766
Cu2 0.234 0.766 0.234
Cu3 0.766 0.234 0.234
Cu4 0.234 0.234 0.766
Cu5 0.234 0.234 0.234
Cu6 0.766 0.766 0.766
Cu7 0.766 0.766 0.234
Cu8 0.766 0.234 0.766
Mg1 0.500 0.000 0.000
Mg2 0.000 0.500 0.000
Mg3 0.000 0.000 0.500
Mg4 0.000 0.000 0.000
Sb1 0.500 0.500 0.000
Sb2 0.500 0.500 0.500
Sb3 0.000 0.500 0.500
Sb4 0.500 0.000 0.500

Symmetry   Pm-3m, No. 221
Total DFT energy (no corrections)   -12.809 eV/f.u.